*one*
ZrTl2Sb GGA-PBEsol relaxed; space group = No. 44; spin magnetization = 0.00 μB/f.u.
1.0
-2.115 2.388 4.709
2.115 -2.388 4.709
2.115 2.388 -4.709
Zr Tl Sb
1 2 1
direct
0.000 0.000 0.000
0.503 0.503 0.000
0.755 0.255 0.500
0.245 0.745 0.500

=====

*two*
ZrTl2Sb GGA-PBEsol relaxed; space group = No. 123; spin magnetization = 0.00 μB/f.u.
1.0
3.232 0.000 0.000
0.000 3.232 0.000
0.000 0.000 9.298
Zr Tl Sb
1 2 1
direct
0.000 0.000 0.000
0.500 0.500 0.233
0.500 0.500 0.767
0.000 0.000 0.500

=====

Which is less stable than every other structure shown? *two* is.